[1]
NaZrPtO4 | GGA-PBE | optimized geometry

Cell: 6.641 6.641 6.641 Å, 122.32 121.64 86.60°
Fractional coordinates of all 14 atoms:
Na (0.388, 0.138, 0.250)
Na (0.612, 0.862, 0.750)
Zr (0.000, 0.500, 0.500)
Zr (0.500, 0.500, 0.000)
Pt (0.000, 0.000, 0.500)
Pt (0.000, 0.500, 0.000)
O (0.178, 0.725, 0.453)
O (0.227, 0.275, 0.953)
O (0.261, 0.300, 0.539)
O (0.261, 0.722, 0.961)
O (0.739, 0.278, 0.039)
O (0.739, 0.700, 0.461)
O (0.773, 0.725, 0.047)
O (0.822, 0.275, 0.547)

Calculated values
The final energy comes out at -6.91 eV/atom.

=====

[2]
KInIr2 | GGA-PBE | optimized geometry

Cell: 2.845 4.721 6.744 Å, 90.00 98.81 90.00°
Fractional coordinates of all 4 atoms:
K (0.000, 0.000, 0.000)
In (0.500, 0.000, 0.500)
Ir (0.292, 0.500, 0.667)
Ir (0.708, 0.500, 0.333)

Calculated values
The calculated formation energy comes out at 0.55 eV/atom.

=====

[3]
Cs2UMnTe4 | GGA-PBE | optimized geometry

Cell: 18.144 15.471 10.044 Å, 87.97 58.44 33.59°
Fractional coordinates of all 16 atoms:
Cs (0.036, 0.036, 0.714)
Cs (0.286, 0.286, 0.964)
Cs (0.714, 0.714, 0.036)
Cs (0.964, 0.964, 0.286)
U (0.125, 0.125, 0.125)
U (0.875, 0.875, 0.875)
Mn (0.375, 0.375, 0.375)
Mn (0.625, 0.625, 0.625)
Te (0.057, 0.575, 0.510)
Te (0.358, 0.510, 0.575)
Te (0.425, 0.943, 0.642)
Te (0.490, 0.642, 0.943)
Te (0.510, 0.358, 0.057)
Te (0.575, 0.057, 0.358)
Te (0.642, 0.490, 0.425)
Te (0.943, 0.425, 0.490)

Calculated values
The final energy comes out at -4.96 eV/atom.

=====

[4]
ZrMo2Os | GGA-PBE | optimized geometry

Cell: 5.912 5.912 5.912 Å, 101.72 101.72 126.42°
Fractional coordinates of all 8 atoms:
Zr (0.000, 0.000, 0.000)
Zr (0.750, 0.250, 0.500)
Mo (0.162, 0.125, 0.537)
Mo (0.375, 0.838, 0.963)
Mo (0.588, 0.625, 0.463)
Mo (0.875, 0.412, 0.037)
Os (0.250, 0.750, 0.500)
Os (0.500, 0.500, 0.000)

Calculated values
The calculated formation energy comes out at 0.52 eV/atom.